YSiP2Cl: optimized geometry, GGA-PBEsol.

```
YSiP2Cl
1.0
4.9591 0.0000 0.0000
0.0000 5.2295 0.0000
0.0000 0.0000 5.2295
P Y Cl Si
2 1 1 1
Direct
0.0000 0.0000 0.5000
0.0000 0.5000 0.0000
0.0000 0.0000 0.0000
0.5000 0.0000 0.0000
0.5000 0.5000 0.5000
```

## Properties
Formation energy from raw total energies   0.385 eV per atom
Size of the total moment   0.00 μB/f.u.
Final energy   -4.847 eV/atom
D(E_F)   0.902 states/eV/atom